A plane-wave DFT calculation with PBE was carried out for a geometry-optimized Dy3HoEr3S8 structure.

a = 7.749 Å, b = 7.749 Å, c = 7.759 Å
α = 119.96°, β = 90.00°, γ = 120.00°
Atoms (fractional coordinates):
Dy 0.000 0.000 0.000
Dy 0.000 0.500 0.000
Dy 0.500 0.500 0.000
Ho 0.000 0.000 0.500
Er 0.500 0.000 0.500
Er 0.500 0.500 0.500
Er 0.000 0.500 0.500
S 0.251 0.502 0.254
S 0.749 0.498 0.746
S 0.749 0.498 0.252
S 0.251 0.502 0.748
S 0.749 0.002 0.252
S 0.251 0.998 0.748
S 0.253 0.003 0.252
S 0.747 0.997 0.748

Output
- final energy (eV/cell) = -95.71
- crystal system = trigonal
- formation energy (no corrections) (eV per atom) = -2.04